Density functional theory data (PBE) for a geometry-optimized LiPm3Ir2 structure.

Values from the calculation:
- Energy relative to the lowest polymorph listed for this composition: 0.094 eV per atom
- Total moment: 0.00 μB/cell
- Raw total energy: -0.22363 Ha/atom
- Formation energy: -253 kJ/mol of formula units

Unit cell a=3.578 b=3.578 c=11.353 alpha=90.00 beta=90.00 gamma=90.00
Fractional positions:
Ir  0.500  0.500  0.839
Ir  0.500  0.500  0.161
Pm  0.000  0.000  0.000
Pm  0.000  0.000  0.299
Pm  0.000  0.000  0.701
Li  0.500  0.500  0.500


Density functional theory data (PBE) for a geometry-optimized LiPm6Ir2 structure.

Values from the calculation:
- Total moment: 0.00 μB/cell
- Raw total energy: -0.20690 Ha/atom
- Formation energy: -244 kJ/mol of formula units

Unit cell a=5.444 b=6.338 c=8.434 alpha=81.53 beta=71.17 gamma=64.56
Fractional positions:
Li  0.000  0.500  0.500
Pm  0.303  0.312  0.082
Pm  0.380  0.799  0.440
Pm  0.620  0.201  0.560
Pm  0.038  0.103  0.821
Pm  0.962  0.897  0.179
Pm  0.697  0.688  0.918
Ir  0.688  0.399  0.226
Ir  0.312  0.601  0.774


Density functional theory data (PBE) for a geometry-optimized LiPm2Ir structure.

Values from the calculation:
- Total moment: 0.00 μB/cell
- Raw total energy: -0.20227 Ha/atom
- Formation energy: -168 kJ/mol of formula units

Unit cell a=5.052 b=5.052 c=5.052 alpha=60.00 beta=60.00 gamma=60.00
Fractional positions:
Ir  0.250  0.250  0.250
Pm  0.000  0.000  0.000
Pm  0.500  0.500  0.500
Li  0.750  0.750  0.750


Density functional theory data (PBE) for a geometry-optimized LiPm3Ir structure.

Values from the calculation:
- Energy relative to the lowest polymorph listed for this composition: 0.103 eV per atom
- Total moment: 0.00 μB/cell
- Raw total energy: -0.19041 Ha/atom
- Formation energy: -85 kJ/mol of formula units

Unit cell a=5.576 b=5.576 c=5.576 alpha=90.00 beta=90.00 gamma=90.00
Fractional positions:
Pm  0.000  0.000  0.500
Pm  0.500  0.000  0.000
Pm  0.000  0.500  0.000
Ir  0.000  0.000  0.000
Li  0.500  0.500  0.500


Density functional theory data (PBE) for a geometry-optimized Li2Pm2Ir structure.

Values from the calculation:
- Total moment: 0.00 μB/cell
- Raw total energy: -0.16953 Ha/atom
- Formation energy: -84 kJ/mol of formula units

Unit cell a=3.571 b=3.571 c=9.878 alpha=100.41 beta=100.41 gamma=90.00
Fractional positions:
Pm  0.587  0.587  0.175
Pm  0.413  0.413  0.825
Li  0.750  0.250  0.500
Li  0.250  0.750  0.500
Ir  0.000  0.000  0.000


Density functional theory data (PBE) for a geometry-optimized LiPm3Ir structure.

Values from the calculation:
- Energy relative to the lowest polymorph listed for this composition: 0.000 eV per atom
- Total moment: 0.00 μB/cell
- Raw total energy: -0.19417 Ha/atom
- Formation energy: -134 kJ/mol of formula units

Unit cell a=6.971 b=10.477 c=9.129 alpha=120.50 beta=90.00 gamma=90.00
Fractional positions:
Pm  0.060  0.689  0.898
Pm  0.502  0.559  0.242
Pm  0.440  0.189  0.898
Pm  0.498  0.441  0.758
Pm  0.494  0.204  0.300
Pm  0.506  0.796  0.700
Pm  0.940  0.311  0.102
Pm  0.994  0.296  0.700
Pm  0.006  0.704  0.300
Pm  0.002  0.941  0.758
Pm  0.560  0.811  0.102
Pm  0.998  0.059  0.242
Li  0.306  0.991  0.483
Li  0.806  0.509  0.517
Li  0.194  0.491  0.483
Li  0.694  0.009  0.517
Ir  0.786  0.531  0.009
Ir  0.214  0.469  0.991
Ir  0.714  0.031  0.009
Ir  0.286  0.969  0.991